Compound: YRe2Ir
Source: the Alexandria database
Functional: PBE
Structure: optimized geometry

abc: 2.765 4.035 6.392
angles: 90.00 90.00 90.00
Positions (direct):
Ir (0.500, 0.500, 0.750)
Re (0.000, 0.000, 0.948)
Re (0.000, 0.000, 0.552)
Y (0.500, 0.500, 0.250)

Summary:
SG = Pmmm (47)
ΔE to the lowest computed polymorph = 110 kJ/mol of formula units


Compound: Y4ReIr
Source: the Alexandria database
Functional: PBE
Structure: optimized geometry

abc: 5.813 5.813 5.813
angles: 60.00 60.00 60.00
Positions (direct):
Y (0.375, 0.875, 0.375)
Y (0.875, 0.375, 0.375)
Y (0.375, 0.375, 0.875)
Y (0.375, 0.375, 0.375)
Re (0.000, 0.000, 0.000)
Ir (0.750, 0.750, 0.750)

Summary:
SG = F-43m (216)


Compound: YRe2Ir
Source: the Alexandria database
Functional: PBE
Structure: optimized geometry

abc: 4.592 4.592 4.592
angles: 60.00 60.00 60.00
Site moments in Bohr magnetons follow the coordinates.
Positions (direct):
Ir (0.500, 0.500, 0.500)  0.34
Re (0.000, 0.000, 0.000)  -0.02
Re (0.250, 0.250, 0.250)  0.46
Y (0.750, 0.750, 0.750)  0.00

Summary:
SG = F-43m (216)
ΔE to the lowest computed polymorph = 89 kJ/mol of formula units


| no. | M_tot (μB/f.u.) | energy (eV/atom) |
| --- | --- | --- |
| 1 | 0.0 | -9.7503 |
| 2 | 0.0 | -6.8414 |
| 3 | 0.8 | -9.8047 |